1.
A plane-wave DFT calculation with GGA-PBE was carried out for a geometry-optimized Er2BrNCl structure.

a = 3.5895 Å, b = 3.5895 Å, c = 9.8938 Å
α = 90.00°, β = 90.00°, γ = 120.00°
Positions (direct):
Er1 0.3333 0.6667 0.6254
Er2 0.0000 0.0000 0.3676
Cl1 0.3333 0.6667 0.1909
Br1 0.0000 0.0000 0.8211
N1 0.6667 0.3333 0.4951

total DFT energy (no corrections)	-6.0494	eV/atom
volume	22.079	Å³/atom

2.
A plane-wave DFT calculation with GGA-PBE was carried out for a geometry-optimized Er4BrN2Cl structure.

a = 3.5061 Å, b = 3.5061 Å, c = 13.5927 Å
α = 90.00°, β = 90.00°, γ = 120.00°
Positions (direct):
Cl1 0.3333 0.6667 0.5000
Er1 0.3333 0.6667 0.1637
Er2 0.0000 0.0000 0.6549
Er3 0.3333 0.6667 0.8363
Er4 0.0000 0.0000 0.3451
N1 0.6667 0.3333 0.2572
N2 0.6667 0.3333 0.7428
Br1 0.0000 0.0000 0.0000

total DFT energy (no corrections)	-6.2884	eV/atom
volume	18.088	Å³/atom

3.
A plane-wave DFT calculation with GGA-PBE was carried out for a geometry-optimized Er2S2BrCl structure.

a = 3.9902 Å, b = 5.3255 Å, c = 7.9382 Å
α = 90.00°, β = 90.00°, γ = 90.00°
Positions (direct):
Er1 0.5000 0.5000 0.3511
Er2 0.0000 0.0000 0.6389
S1 0.0000 0.5000 0.5856
S2 0.5000 0.0000 0.4071
Cl1 0.0000 0.5000 0.1319
Br1 0.5000 0.0000 0.8855

total DFT energy (no corrections)	-5.5765	eV/atom
volume	28.114	Å³/atom